# 1
Density functional theory data (GGA-PBE) for a geometry-optimized Sm2Ga5Co2Ni structure.

## Properties
**D(E_F)**: 0.913 states/eV/atom
**Formation energy from the elements**: -3.42 eV/f.u.
**Spin magnetization**: 0.0 Bohr magnetons per cell

a b c (Å): 9.4547 9.4547 3.8074
angles (deg): 90.00 90.00 90.00
Element x y z (fractional)
Sm 0.1856 0.3144 0.0000
Sm 0.3144 0.8144 0.0000
Sm 0.6856 0.1856 0.0000
Sm 0.8144 0.6856 0.0000
Ga 0.0000 0.5000 0.5000
Ga 0.0529 0.8019 0.5000
Ga 0.1981 0.0529 0.5000
Ga 0.3019 0.5529 0.5000
Ga 0.4471 0.3019 0.5000
Ga 0.5000 0.0000 0.5000
Ga 0.5529 0.6981 0.5000
Ga 0.6981 0.4471 0.5000
Ga 0.8019 0.9471 0.5000
Ga 0.9471 0.1981 0.5000
Co 0.1122 0.6122 0.0000
Co 0.3878 0.1122 0.0000
Co 0.6122 0.8878 0.0000
Co 0.8878 0.3878 0.0000
Ni 0.0000 0.0000 0.0000
Ni 0.5000 0.5000 0.0000

# 2
Density functional theory data (GGA-PBE) for a geometry-optimized Sm2GaCo2Ni5 structure.

## Properties
**D(E_F)**: 1.258 states/eV/atom
**Formation energy from the elements**: -1.66 eV/f.u.
**Spin magnetization**: 5.0 Bohr magnetons per cell

a b c (Å): 8.8568 8.8568 3.7643
angles (deg): 90.00 90.00 90.00
Element x y z (fractional)
Sm 0.1808 0.3192 0.0000
Sm 0.3192 0.8192 0.0000
Sm 0.6808 0.1808 0.0000
Sm 0.8192 0.6808 0.0000
Ga 0.0000 0.0000 0.0000
Ga 0.5000 0.5000 0.0000
Co 0.1163 0.6163 0.0000
Co 0.3837 0.1163 0.0000
Co 0.6163 0.8837 0.0000
Co 0.8837 0.3837 0.0000
Ni 0.0000 0.5000 0.5000
Ni 0.0596 0.7928 0.5000
Ni 0.2072 0.0596 0.5000
Ni 0.2928 0.5596 0.5000
Ni 0.4404 0.2928 0.5000
Ni 0.5000 0.0000 0.5000
Ni 0.5596 0.7072 0.5000
Ni 0.7072 0.4404 0.5000
Ni 0.7928 0.9404 0.5000
Ni 0.9404 0.2072 0.5000

# 3
Density functional theory data (GGA-PBE) for a geometry-optimized SmGa2CoNi structure.

## Properties
**D(E_F)**: 0.740 states/eV/atom
**Formation energy from the elements**: -2.36 eV/f.u.
**Spin magnetization**: 0.0 Bohr magnetons per cell

a b c (Å): 5.8804 5.8804 5.8804
angles (deg): 139.78 139.78 58.19
Element x y z (fractional)
Sm 0.0000 0.0000 0.0000
Ga 0.3719 0.3719 0.0000
Ga 0.6281 0.6281 0.0000
Co 0.2500 0.7500 0.5000
Ni 0.7500 0.2500 0.5000

# 4
Density functional theory data (GGA-PBE) for a geometry-optimized Sm2Ga6CoNi structure.

## Properties
**D(E_F)**: 0.700 states/eV/atom
**Formation energy from the elements**: -3.83 eV/f.u.
**Spin magnetization**: 0.0 Bohr magnetons per cell

a b c (Å): 6.4675 6.4675 6.4675
angles (deg): 60.00 60.00 60.00
Element x y z (fractional)
Sm 0.2500 0.2500 0.2500
Sm 0.7500 0.7500 0.7500
Ga 0.2497 0.2497 0.7503
Ga 0.2497 0.7503 0.2497
Ga 0.2497 0.7503 0.7503
Ga 0.7503 0.2497 0.2497
Ga 0.7503 0.2497 0.7503
Ga 0.7503 0.7503 0.2497
Co 0.0000 0.0000 0.0000
Ni 0.5000 0.5000 0.5000

# 5
Density functional theory data (GGA-PBE) for a geometry-optimized SmGa5Co2Ni structure.

## Properties
**D(E_F)**: 0.566 states/eV/atom
**Formation energy from the elements**: -1.78 eV/f.u.
**Spin magnetization**: 0.0 Bohr magnetons per cell

a b c (Å): 4.5793 4.5793 7.1426
angles (deg): 90.00 90.00 90.00
Element x y z (fractional)
Sm 0.0000 0.0000 0.0000
Ga 0.0000 0.5000 0.3128
Ga 0.0000 0.5000 0.6872
Ga 0.5000 0.0000 0.3128
Ga 0.5000 0.0000 0.6872
Ga 0.5000 0.5000 0.0000
Co 0.5000 0.5000 0.3132
Co 0.5000 0.5000 0.6868
Ni 0.0000 0.0000 0.5000

# 6
Density functional theory data (GGA-PBE) for a geometry-optimized TaGaCoNi structure.

## Properties
**D(E_F)**: 1.080 states/eV/atom
**Formation energy from the elements**: -1.27 eV/f.u.
**Spin magnetization**: 0.0 Bohr magnetons per cell

a b c (Å): 4.2165 4.2165 4.2165
angles (deg): 60.00 60.00 60.00
Element x y z (fractional)
Ta 0.0000 0.0000 0.0000
Ga 0.5000 0.5000 0.5000
Co 0.7500 0.7500 0.7500
Ni 0.2500 0.2500 0.2500

# 7
Density functional theory data (GGA-PBE) for a geometry-optimized Ta2Ga2CoNi7 structure.

## Properties
**D(E_F)**: 0.960 states/eV/atom
**Formation energy from the elements**: 0.30 eV/f.u.
**Spin magnetization**: 2.2 Bohr magnetons per cell

a b c (Å): 14.8264 14.8264 14.8264
angles (deg): 167.23 167.23 18.09
Element x y z (fractional)
Ta 0.1321 0.1321 0.0000
Ta 0.8679 0.8679 0.0000
Ga 0.3101 0.3101 0.0000
Ga 0.6899 0.6899 0.0000
Co 0.5000 0.5000 0.0000
Ni 0.0000 0.0000 0.0000
Ni 0.0648 0.5648 0.5000
Ni 0.2257 0.2257 0.0000
Ni 0.4352 0.9352 0.5000
Ni 0.5648 0.0648 0.5000
Ni 0.7743 0.7743 0.0000
Ni 0.9352 0.4352 0.5000

# 8
Density functional theory data (GGA-PBE) for a geometry-optimized TaGaCo2Ni structure.

## Properties
**D(E_F)**: 0.719 states/eV/atom
**Formation energy from the elements**: 4.13 eV/f.u.
**Spin magnetization**: 2.0 Bohr magnetons per cell

a b c (Å): 4.2363 4.2363 4.1762
angles (deg): 90.00 90.00 90.00
Element x y z (fractional)
Ta 0.0000 0.0000 0.0000
Ga 0.5000 0.5000 0.5000
Co 0.0000 0.5000 0.5000
Co 0.5000 0.0000 0.5000
Ni 0.5000 0.5000 0.0000

# 9
Density functional theory data (GGA-PBE) for a geometry-optimized TbGa5Co2Ni structure.

## Properties
**D(E_F)**: 0.633 states/eV/atom
**Formation energy from the elements**: -1.54 eV/f.u.
**Spin magnetization**: 0.0 Bohr magnetons per cell

a b c (Å): 4.5747 4.5747 7.0536
angles (deg): 90.00 90.00 90.00
Element x y z (fractional)
Tb 0.0000 0.0000 0.0000
Ga 0.0000 0.5000 0.3096
Ga 0.0000 0.5000 0.6904
Ga 0.5000 0.0000 0.3096
Ga 0.5000 0.0000 0.6904
Ga 0.5000 0.5000 0.0000
Co 0.5000 0.5000 0.3182
Co 0.5000 0.5000 0.6818
Ni 0.0000 0.0000 0.5000

# 10
Density functional theory data (GGA-PBE) for a geometry-optimized TbGa3CoNi structure.

## Properties
**D(E_F)**: 0.512 states/eV/atom
**Formation energy from the elements**: -1.67 eV/f.u.
**Spin magnetization**: 0.0 Bohr magnetons per cell

a b c (Å): 6.4353 6.4353 5.3976
angles (deg): 90.00 90.00 106.57
Element x y z (fractional)
Tb 0.2021 0.7979 0.7500
Tb 0.7979 0.2021 0.2500
Ga 0.2432 0.2432 0.0000
Ga 0.2432 0.2432 0.5000
Ga 0.3103 0.6897 0.2500
Ga 0.6897 0.3103 0.7500
Ga 0.7568 0.7568 0.0000
Ga 0.7568 0.7568 0.5000
Co 0.0801 0.9199 0.2500
Co 0.9199 0.0801 0.7500
Ni 0.4627 0.5373 0.7500
Ni 0.5373 0.4627 0.2500

# 11
Density functional theory data (GGA-PBE) for a geometry-optimized TbGaCoNi structure.

## Properties
**D(E_F)**: 0.654 states/eV/atom
**Formation energy from the elements**: -1.16 eV/f.u.
**Spin magnetization**: 0.5 Bohr magnetons per cell

a b c (Å): 4.4381 4.4381 4.4381
angles (deg): 60.00 60.00 60.00
Element x y z (fractional)
Tb 0.0000 0.0000 0.0000
Ga 0.5000 0.5000 0.5000
Co 0.7500 0.7500 0.7500
Ni 0.2500 0.2500 0.2500

# 12
Density functional theory data (GGA-PBE) for a geometry-optimized Tb2Ga5CoNi2 structure.

## Properties
**D(E_F)**: 0.709 states/eV/atom
**Formation energy from the elements**: -4.26 eV/f.u.
**Spin magnetization**: 3.3 Bohr magnetons per cell

a b c (Å): 9.1409 9.1409 3.9901
angles (deg): 90.00 90.00 90.00
Element x y z (fractional)
Tb 0.1852 0.3148 0.0000
Tb 0.3148 0.8148 0.0000
Tb 0.6852 0.1852 0.0000
Tb 0.8148 0.6852 0.0000
Ga 0.0000 0.5000 0.5000
Ga 0.0540 0.7988 0.5000
Ga 0.2012 0.0540 0.5000
Ga 0.2988 0.5540 0.5000
Ga 0.4460 0.2988 0.5000
Ga 0.5000 0.0000 0.5000
Ga 0.5540 0.7012 0.5000
Ga 0.7012 0.4460 0.5000
Ga 0.7988 0.9460 0.5000
Ga 0.9460 0.2012 0.5000
Co 0.0000 0.0000 0.0000
Co 0.5000 0.5000 0.0000
Ni 0.1105 0.6105 0.0000
Ni 0.3895 0.1105 0.0000
Ni 0.6105 0.8895 0.0000
Ni 0.8895 0.3895 0.0000

# 13
Density functional theory data (GGA-PBE) for a geometry-optimized Tb2GaCo3Ni12 structure.

## Properties
**D(E_F)**: 1.418 states/eV/atom
**Formation energy from the elements**: 0.34 eV/f.u.
**Spin magnetization**: 8.3 Bohr magnetons per cell

a b c (Å): 6.2303 6.2303 6.2303
angles (deg): 83.16 83.16 83.16
Element x y z (fractional)
Tb 0.2262 0.2262 0.2262
Tb 0.7738 0.7738 0.7738
Ga 0.5000 0.5000 0.5000
Co 0.0000 0.5000 0.5000
Co 0.5000 0.0000 0.5000
Co 0.5000 0.5000 0.0000
Ni 0.0796 0.0796 0.6475
Ni 0.0796 0.6475 0.0796
Ni 0.2264 0.6996 0.6996
Ni 0.3004 0.3004 0.7736
Ni 0.3004 0.7736 0.3004
Ni 0.3525 0.9204 0.9204
Ni 0.6475 0.0796 0.0796
Ni 0.6996 0.2264 0.6996
Ni 0.6996 0.6996 0.2264
Ni 0.7736 0.3004 0.3004
Ni 0.9204 0.3525 0.9204
Ni 0.9204 0.9204 0.3525

# 14
Density functional theory data (GGA-PBE) for a geometry-optimized TbGa4CoNi2 structure.

## Properties
**D(E_F)**: 0.672 states/eV/atom
**Formation energy from the elements**: -3.59 eV/f.u.
**Spin magnetization**: 0.0 Bohr magnetons per cell

a b c (Å): 8.9248 8.9248 8.9248
angles (deg): 26.35 26.35 26.35
Element x y z (fractional)
Tb 0.0000 0.0000 0.0000
Ga 0.1330 0.1330 0.1330
Ga 0.4037 0.4037 0.4037
Ga 0.5963 0.5963 0.5963
Ga 0.8670 0.8670 0.8670
Co 0.5000 0.5000 0.5000
Ni 0.2314 0.2314 0.2314
Ni 0.7686 0.7686 0.7686

# 15
Density functional theory data (GGA-PBE) for a geometry-optimized Tb2Ga3CoNi12 structure.

## Properties
**D(E_F)**: 0.937 states/eV/atom
**Formation energy from the elements**: 0.45 eV/f.u.
**Spin magnetization**: 3.3 Bohr magnetons per cell

a b c (Å): 9.0818 9.0818 9.0818
angles (deg): 38.93 38.93 38.93
Element x y z (fractional)
Tb 0.1519 0.1519 0.1519
Tb 0.8481 0.8481 0.8481
Ga 0.0000 0.5000 0.5000
Ga 0.5000 0.0000 0.5000
Ga 0.5000 0.5000 0.0000
Co 0.5000 0.5000 0.5000
Ni 0.0811 0.0811 0.6881
Ni 0.0811 0.6881 0.0811
Ni 0.1464 0.5743 0.5743
Ni 0.3119 0.9189 0.9189
Ni 0.4257 0.4257 0.8536
Ni 0.4257 0.8536 0.4257
Ni 0.5743 0.1464 0.5743
Ni 0.5743 0.5743 0.1464
Ni 0.6881 0.0811 0.0811
Ni 0.8536 0.4257 0.4257
Ni 0.9189 0.3119 0.9189
Ni 0.9189 0.9189 0.3119

# 16
Density functional theory data (GGA-PBE) for a geometry-optimized GaCo2TcNi structure.

## Properties
**D(E_F)**: 1.166 states/eV/atom
**Formation energy from the elements**: 5.09 eV/f.u.
**Spin magnetization**: 6.3 Bohr magnetons per cell

a b c (Å): 4.2489 4.2489 4.2761
angles (deg): 90.00 90.00 90.00
Element x y z (fractional)
Ga 0.0000 0.0000 0.0000
Co 0.0000 0.5000 0.5000
Co 0.5000 0.0000 0.5000
Tc 0.5000 0.5000 0.0000
Ni 0.0000 0.0000 0.5000

# 17
Density functional theory data (GGA-PBE) for a geometry-optimized Th2Ga4CoNi3 structure.

## Properties
**D(E_F)**: 0.999 states/eV/atom
**Formation energy from the elements**: -5.50 eV/f.u.
**Spin magnetization**: 0.7 Bohr magnetons per cell

a b c (Å): 4.1726 4.1726 9.8180
angles (deg): 90.00 90.00 90.00
Element x y z (fractional)
Th 0.0000 0.5000 0.2439
Th 0.5000 0.0000 0.7561
Ga 0.0000 0.0000 0.5000
Ga 0.0000 0.5000 0.8767
Ga 0.5000 0.0000 0.1233
Ga 0.5000 0.5000 0.5000
Co 0.5000 0.5000 0.0000
Ni 0.0000 0.0000 0.0000
Ni 0.0000 0.5000 0.6333
Ni 0.5000 0.0000 0.3667

# 18
Density functional theory data (GGA-PBE) for a geometry-optimized ThGa2Co2Ni structure.

## Properties
**D(E_F)**: 0.626 states/eV/atom
**Formation energy from the elements**: -0.40 eV/f.u.
**Spin magnetization**: 1.6 Bohr magnetons per cell

a b c (Å): 4.4450 4.4450 5.2156
angles (deg): 90.00 90.00 90.00
Element x y z (fractional)
Th 0.0000 0.0000 0.0000
Ga 0.0000 0.5000 0.5000
Ga 0.5000 0.0000 0.5000
Co 0.5000 0.5000 0.2174
Co 0.5000 0.5000 0.7826
Ni 0.0000 0.0000 0.5000

# 19
Density functional theory data (GGA-PBE) for a geometry-optimized ThGa3CoNi structure.

## Properties
**D(E_F)**: 0.627 states/eV/atom
**Formation energy from the elements**: -1.70 eV/f.u.
**Spin magnetization**: 0.0 Bohr magnetons per cell

a b c (Å): 6.1067 6.1067 6.5002
angles (deg): 90.00 90.00 114.52
Element x y z (fractional)
Th 0.2431 0.7569 0.7500
Th 0.7569 0.2431 0.2500
Ga 0.2448 0.7552 0.2500
Ga 0.2516 0.2516 0.0000
Ga 0.2516 0.2516 0.5000
Ga 0.7484 0.7484 0.0000
Ga 0.7484 0.7484 0.5000
Ga 0.7552 0.2448 0.7500
Co 0.0234 0.9766 0.2500
Co 0.9766 0.0234 0.7500
Ni 0.4661 0.5339 0.2500
Ni 0.5339 0.4661 0.7500

# 20
Density functional theory data (GGA-PBE) for a geometry-optimized Th2Ga4Co3Ni structure.

## Properties
**D(E_F)**: 0.966 states/eV/atom
**Formation energy from the elements**: -4.57 eV/f.u.
**Spin magnetization**: 0.4 Bohr magnetons per cell

a b c (Å): 4.1366 4.1366 9.9051
angles (deg): 90.00 90.00 90.00
Element x y z (fractional)
Th 0.0000 0.5000 0.2482
Th 0.5000 0.0000 0.7518
Ga 0.0000 0.0000 0.5000
Ga 0.0000 0.5000 0.8769
Ga 0.5000 0.0000 0.1231
Ga 0.5000 0.5000 0.5000
Co 0.0000 0.0000 0.0000
Co 0.0000 0.5000 0.6363
Co 0.5000 0.0000 0.3637
Ni 0.5000 0.5000 0.0000

# 21
Density functional theory data (GGA-PBE) for a geometry-optimized Th2Ga3CoNi12 structure.

## Properties
**D(E_F)**: 0.937 states/eV/atom
**Formation energy from the elements**: -0.30 eV/f.u.
**Spin magnetization**: 2.5 Bohr magnetons per cell

a b c (Å): 8.8784 8.8784 8.8784
angles (deg): 40.85 40.85 40.85
Element x y z (fractional)
Th 0.1524 0.1524 0.1524
Th 0.8476 0.8476 0.8476
Ga 0.0000 0.5000 0.5000
Ga 0.5000 0.0000 0.5000
Ga 0.5000 0.5000 0.0000
Co 0.5000 0.5000 0.5000
Ni 0.0809 0.0809 0.6915
Ni 0.0809 0.6915 0.0809
Ni 0.1422 0.5783 0.5783
Ni 0.3085 0.9191 0.9191
Ni 0.4217 0.4217 0.8578
Ni 0.4217 0.8578 0.4217
Ni 0.5783 0.1422 0.5783
Ni 0.5783 0.5783 0.1422
Ni 0.6915 0.0809 0.0809
Ni 0.8578 0.4217 0.4217
Ni 0.9191 0.3085 0.9191
Ni 0.9191 0.9191 0.3085